A plane-wave DFT calculation with PBE was carried out for a geometry-optimized Ac8Hg2Os3 structure. Values from VASP.

Quantum ESPRESSO input file:
```
&SYSTEM
  ibrav = 0, nat = 13, ntyp = 3
/
ATOMIC_SPECIES
Ac 227.00 Ac.upf
Hg 200.59 Hg.upf
Os 190.23 Os.upf
ATOMIC_POSITIONS crystal
Ac 0.8351 0.8964 0.8964
Ac 0.3240 0.6534 0.1440
Ac 0.6760 0.3466 0.8560
Ac 0.6760 0.8560 0.3466
Ac 0.3240 0.1440 0.6534
Ac 0.1649 0.1036 0.1036
Hg 0.4968 0.7488 0.7488
Ac 0.1394 0.6131 0.6131
Os 0.5000 0.0000 0.0000
Ac 0.8606 0.3869 0.3869
Os 0.0000 0.7418 0.2582
Os 0.0000 0.2582 0.7418
Hg 0.5032 0.2512 0.2512
CELL_PARAMETERS angstrom
-5.2475 2.1300 -5.1959
-4.5105 4.0423 6.2970
1.6475 8.3774 1.8550
```

Computed properties:
Size of the total moment: 0.0 μB per formula unit
DFT total energy: -5.282 eV/atom
Calculated formation energy: -0.12 eV per atom